[1]
SrLi5 | PBE | relaxed

The structure in CIF format:
```
data_SrLi5
_cell_length_a 11.793
_cell_length_b 3.910
_cell_length_c 7.177
_cell_angle_alpha 90.00
_cell_angle_beta 106.85
_cell_angle_gamma 90.00
_space_group_name_H-M_alt 'C 1 2/m 1'
_space_group_IT_number 12
loop_
_space_group_symop_operation_xyz
'x,y,z'
'-x,-y,-z'
'-x,y,-z'
'x,-y,z'
'x+1/2,y+1/2,z'
'-x+1/2,-y+1/2,-z'
'-x+1/2,y+1/2,-z'
'x+1/2,-y+1/2,z'
loop_
_atom_site_label
_atom_site_type_symbol
_atom_site_fract_x
_atom_site_fract_y
_atom_site_fract_z
Sr1 Sr 0.000 0.000 0.000
Li1 Li 0.000 0.000 0.500
Li2 Li 0.173 0.500 0.382
Li3 Li 0.189 0.500 0.805
```

Results
total energy	-21.86	eV/cell
calculated formation energy	0.05	eV per atom
calculated density	1.3	Mg/m³
total magnetization	0.000	μB per cell



[2]
SrLi12 | PBE | relaxed

The structure in CIF format:
```
data_SrLi12
_cell_length_a 10.308
_cell_length_b 10.308
_cell_length_c 5.680
_cell_angle_alpha 90.00
_cell_angle_beta 90.00
_cell_angle_gamma 90.00
_space_group_name_H-M_alt 'I 4/m m m'
_space_group_IT_number 139
_space_group_name_Hall '-I 4 2'
loop_
_atom_site_label
_atom_site_type_symbol
_atom_site_fract_x
_atom_site_fract_y
_atom_site_fract_z
Sr1 Sr 0.000 0.000 0.000
Li1 Li 0.000 0.227 0.500
Li2 Li 0.000 0.361 0.000
Li3 Li 0.250 0.250 0.250
```

Results
total energy	-48.84	eV/cell
calculated formation energy	0.02	eV per atom
calculated density	0.9	Mg/m³
total magnetization	0.000	μB per cell



[3]
Sr2Li7 | PBE | relaxed

The structure in CIF format:
```
data_Sr2Li7
_cell_length_a 6.3514
_cell_length_b 6.3514
_cell_length_c 43.6765
_cell_angle_alpha 90.00
_cell_angle_beta 90.00
_cell_angle_gamma 120.00
_space_group_name_H-M_alt 'R -3 m'
_space_group_IT_number 166
_space_group_name_Hall '-R 3 2"'
loop_
_atom_site_label
_atom_site_type_symbol
_atom_site_fract_x
_atom_site_fract_y
_atom_site_fract_z
Sr1 Sr 0.0000 0.0000 0.0511
Sr2 Sr 0.0000 0.0000 0.1480
Li1 Li 0.0000 0.0000 0.2788
Li2 Li 0.0000 0.0000 0.3875
Li3 Li 0.0000 0.0000 0.5000
Li4 Li 0.0000 0.5000 0.0000
Li5 Li 0.0001 0.5001 0.1080
```

Results
total energy	-99.91	eV/cell
calculated formation energy	0.01	eV per atom
calculated density	1.5	Mg/m³
total magnetization	0.000	μB per cell



[4]
SrLi5 | PBE | relaxed

The structure in CIF format:
```
data_SrLi5
_cell_length_a 6.2986
_cell_length_b 6.2986
_cell_length_c 4.6375
_cell_angle_alpha 90.00
_cell_angle_beta 90.00
_cell_angle_gamma 120.00
_space_group_name_H-M_alt 'P 6/m m m'
_space_group_IT_number 191
_space_group_name_Hall '-P 6 2'
loop_
_atom_site_label
_atom_site_type_symbol
_atom_site_fract_x
_atom_site_fract_y
_atom_site_fract_z
Sr1 Sr 0.0000 0.0000 0.0000
Li1 Li 0.0000 0.5000 0.5000
Li2 Li 0.3333 0.6667 0.0000
```

Results
total energy	-11.13	eV/cell
calculated formation energy	0.02	eV per atom
calculated density	1.3	Mg/m³
total magnetization	0.000	μB per cell



[5]
SrLi2 | PBE | relaxed

The structure in CIF format:
```
data_SrLi2
_cell_length_a 4.801
_cell_length_b 4.806
_cell_length_c 17.449
_cell_angle_alpha 90.00
_cell_angle_beta 90.00
_cell_angle_gamma 90.00
_space_group_name_H-M_alt 'I m m a'
_space_group_IT_number 74
_space_group_name_Hall '-I 2b 2'
loop_
_atom_site_label
_atom_site_type_symbol
_atom_site_fract_x
_atom_site_fract_y
_atom_site_fract_z
Sr1 Sr 0.000 0.250 0.125
Li1 Li 0.000 0.250 0.542
Li2 Li 0.000 0.250 0.708
```

Results
total energy	-21.25	eV/cell
calculated formation energy	0.07	eV per atom
calculated density	1.7	Mg/m³
total magnetization	0.000	μB per cell



[6]
Sr3LiTa | PBE | relaxed

The structure in CIF format:
```
data_Sr3LiTa
_cell_length_a 5.893
_cell_length_b 5.893
_cell_length_c 5.893
_cell_angle_alpha 90.00
_cell_angle_beta 90.00
_cell_angle_gamma 90.00
_space_group_name_H-M_alt 'P m -3 m'
_space_group_IT_number 221
_space_group_name_Hall '-P 4 2 3'
loop_
_atom_site_label
_atom_site_type_symbol
_atom_site_fract_x
_atom_site_fract_y
_atom_site_fract_z
Sr1 Sr 0.000 0.000 0.500
Li1 Li 0.000 0.000 0.000
Ta1 Ta 0.500 0.500 0.500
```

Results
total energy	-12.99	eV/cell
calculated formation energy	1.16	eV per atom
calculated density	3.7	Mg/m³
total magnetization	4.129	μB per cell